Rb2BaIrF6: optimized geometry, PBE.

a = 6.6363 Å, b = 6.6363 Å, c = 6.6363 Å
α = 118.56°, β = 118.56°, γ = 92.52°
Fractional positions:
Rb 0.2500 0.7500 0.5000
Rb 0.7500 0.2500 0.5000
Ba 0.0000 0.0000 0.0000
Ir 0.5000 0.5000 0.0000
F 0.2633 0.2633 0.5266
F 0.2633 0.7367 0.0000
F 0.2759 0.2759 0.0000
F 0.7241 0.7241 0.0000
F 0.7367 0.2633 0.0000
F 0.7367 0.7367 0.4734

Results
The value obtained for the energy relative to the elements, uncorrected is -2.32 eV/atom. The value obtained for the calculated density is 4.84 g/cm3. The calculation puts the volume at 21.10 Å³ per atom. The value obtained for the calculated total energy is -4.72 eV/atom.



BaSc2IrF: optimized geometry, PBE.

a = 4.4819 Å, b = 4.4819 Å, c = 5.1746 Å
α = 90.00°, β = 90.00°, γ = 90.00°
Fractional positions:
Ba 0.0000 0.0000 0.0000
Sc 0.0000 0.5000 0.5000
Sc 0.5000 0.0000 0.5000
Ir 0.5000 0.5000 0.0000
F 0.0000 0.0000 0.5000

Results
The value obtained for the energy relative to the elements, uncorrected is -0.72 eV/atom. The value obtained for the calculated density is 7.00 g/cm3. The calculation puts the volume at 20.79 Å³ per atom. The value obtained for the calculated total energy is -5.79 eV/atom.



BaZn2IrF: optimized geometry, PBE.

a = 4.9667 Å, b = 4.9667 Å, c = 4.4220 Å
α = 90.00°, β = 90.00°, γ = 90.00°
Fractional positions:
Ba 0.0000 0.0000 0.0000
Zn 0.0000 0.5000 0.5000
Zn 0.5000 0.0000 0.5000
Ir 0.5000 0.5000 0.0000
F 0.5000 0.5000 0.5000

Results
The value obtained for the energy relative to the elements, uncorrected is 0.00 eV/atom. The value obtained for the calculated density is 7.30 g/cm3. The calculation puts the volume at 21.82 Å³ per atom. The value obtained for the calculated total energy is -3.04 eV/atom.



K3BaF: optimized geometry, PBE.

a = 6.1385 Å, b = 6.1385 Å, c = 6.1385 Å
α = 90.00°, β = 90.00°, γ = 90.00°
Fractional positions:
K 0.0000 0.0000 0.5000
K 0.0000 0.5000 0.0000
K 0.5000 0.0000 0.0000
Ba 0.5000 0.5000 0.5000
F 0.0000 0.0000 0.0000

Results
The value obtained for the energy relative to the elements, uncorrected is -0.79 eV/atom. The value obtained for the calculated density is 1.96 g/cm3. The calculation puts the volume at 46.26 Å³ per atom. Its distance to the lowest polymorph of the same formula is 0 meV/atom. The value obtained for the calculated total energy is -2.21 eV/atom.